Entry 1:
RbTmHgTe3 | PBE | optimized geometry

Lattice parameters (Å, degrees): 20.150 4.432 9.892 90.00 101.49 90.00
Space group C2/m (No. 12)
Symmetry-distinct sites (fractional):
1 Rb 0.145 0.000 0.065 [4 per cell]
2 Tm 0.175 0.000 0.572 [4 per cell]
3 Hg 0.025 0.500 0.719 [4 per cell]
4 Te 0.000 0.000 0.500 [2 per cell]
5 Te 0.000 0.500 0.000 [2 per cell]
6 Te 0.172 0.500 0.362 [4 per cell]
7 Te 0.172 0.500 0.783 [4 per cell]

Summary:
energy: -3.38 eV per atom
crystal system: monoclinic

Entry 2:
PrTe | PBE | optimized geometry

Lattice parameters (Å, degrees): 7.126 7.126 7.126 90.00 90.00 90.00
Space group F-43m (No. 216)
Symmetry-distinct sites (fractional):
1 Pr 0.000 0.000 0.000 [4 per cell]
2 Te 0.250 0.250 0.750 [4 per cell]

Summary:
energy: -4.91 eV per atom
crystal system: cubic

Entry 3:
LiInSbIr | PBE | optimized geometry

Lattice parameters (Å, degrees): 6.598 6.598 6.598 90.00 90.00 90.00
Space group F-43m (No. 216)
Symmetry-distinct sites (fractional):
1 Li 0.000 0.000 0.000 [4 per cell]
2 In 0.250 0.250 0.750 [4 per cell]
3 Sb 0.250 0.250 0.250 [4 per cell]
4 Ir 0.000 0.000 0.500 [4 per cell]

Summary:
energy: -4.64 eV per atom
crystal system: cubic
distance to the lowest polymorph of the same formula: 0 meV per atom

Entry 4:
CsZrFe | PBE | optimized geometry

Lattice parameters (Å, degrees): 6.679 6.679 6.679 90.00 90.00 90.00
Space group F-43m (No. 216)
Symmetry-distinct sites (fractional):
1 Cs 0.000 0.000 0.000 [4 per cell]
2 Zr 0.250 0.250 0.250 [4 per cell]
3 Fe 0.250 0.250 0.750 [4 per cell]

Summary:
energy: -3.72 eV per atom
crystal system: cubic
distance to the lowest polymorph of the same formula: 635 meV per atom

Entry 5:
GdPaZn | PBE | optimized geometry

Lattice parameters (Å, degrees): 6.844 6.844 6.844 90.00 90.00 90.00
Space group F-43m (No. 216)
Symmetry-distinct sites (fractional):
1 Gd 0.000 0.000 0.000 [4 per cell]
2 Pa 0.000 0.000 0.500 [4 per cell]
3 Zn 0.250 0.250 0.250 [4 per cell]

Summary:
energy: -4.72 eV per atom
crystal system: cubic
E_form: 0.42 eV/atom
distance to the lowest polymorph of the same formula: 0 meV per atom

Entry 6:
PuZnPb | PBE | optimized geometry

Lattice parameters (Å, degrees): 6.795 6.795 6.795 90.00 90.00 90.00
Space group F-43m (No. 216)
Symmetry-distinct sites (fractional):
1 Pu 0.000 0.000 0.000 [4 per cell]
2 Zn 0.250 0.250 0.750 [4 per cell]
3 Pb 0.000 0.000 0.500 [4 per cell]

Summary:
energy: -6.45 eV per atom
crystal system: cubic

Entry 7:
Li2MgIn2HgPd2 | PBE | optimized geometry

Lattice parameters (Å, degrees): 4.618 4.618 6.609 90.00 90.00 90.00
Space group P-4m2 (No. 115)
Symmetry-distinct sites (fractional):
1 Li 0.000 0.500 0.244 [2 per cell]
2 Mg 0.000 0.000 0.500 [1 per cell]
3 In 0.000 0.000 0.000 [1 per cell]
4 In 0.500 0.500 0.500 [1 per cell]
5 Hg 0.500 0.500 0.000 [1 per cell]
6 Pd 0.000 0.500 0.737 [2 per cell]

Summary:
energy: -3.16 eV per atom
crystal system: tetragonal

Entry 8:
CoAsIrPt | PBE | optimized geometry

Lattice parameters (Å, degrees): 6.158 6.158 6.158 90.00 90.00 90.00
Space group F-43m (No. 216)
Symmetry-distinct sites (fractional):
1 Co 0.000 0.000 0.000 [4 per cell]
2 As 0.250 0.250 0.750 [4 per cell]
3 Ir 0.000 0.000 0.500 [4 per cell]
4 Pt 0.250 0.250 0.250 [4 per cell]

Summary:
energy: -6.47 eV per atom
crystal system: cubic
distance to the lowest polymorph of the same formula: 0 meV per atom